1.
VASP calculation (GGA-PBE) on a geometry-optimized La2NiS5 structure.

```
La2NiS5
1.0
-2.7276 6.6846 -3.2100
-2.1031 -5.3148 -9.2807
-3.5662 -0.8369 1.2874
La Ni S
4 2 10
direct
0.6075 0.1749 0.5000 La
0.1075 0.3251 0.5000 La
0.8925 0.6749 0.5000 La
0.3925 0.8251 0.5000 La
0.0000 0.0000 0.0000 Ni
0.5000 0.5000 0.0000 Ni
0.5000 0.0000 0.0000 S
0.8894 0.1968 0.0000 S
0.3894 0.3032 0.0000 S
0.0000 0.5000 0.0000 S
0.6106 0.6968 0.0000 S
0.1106 0.8032 0.0000 S
0.1641 0.0467 0.5000 S
0.6641 0.4533 0.5000 S
0.3359 0.5467 0.5000 S
0.8359 0.9533 0.5000 S
```

For the total energy, the calculation gives -5.89 eV per atom. The space-group type is Pbam (55).

2.
VASP calculation (GGA-PBE) on a geometry-optimized La2NiSb structure.

```
La2NiSb
1.0
8.2840 0.0000 0.0000
0.0000 4.5447 0.0000
0.0000 0.0000 11.7622
La Ni Sb
8 4 4
direct
0.2157 0.7500 0.0492 La
0.5406 0.2500 0.2015 La
0.0406 0.2500 0.2985 La
0.7157 0.7500 0.4508 La
0.2843 0.2500 0.5492 La
0.9594 0.7500 0.7015 La
0.4594 0.7500 0.7985 La
0.7843 0.2500 0.9508 La
0.5688 0.7500 0.0204 Ni
0.0688 0.7500 0.4796 Ni
0.9312 0.2500 0.5204 Ni
0.4312 0.2500 0.9796 Ni
0.8303 0.7500 0.1594 Sb
0.3303 0.7500 0.3406 Sb
0.6697 0.2500 0.6594 Sb
0.1697 0.2500 0.8406 Sb
```

For the total energy, the calculation gives -5.71 eV per atom. The space-group type is Pnma (62).

3.
VASP calculation (GGA-PBE) on a geometry-optimized LaNiSb2 structure.

```
LaNiSb2
1.0
-2.5516 2.7760 -2.3539
1.1807 -2.0880 -3.7422
-7.7364 -6.2323 1.0364
La Ni Sb
2 2 4
direct
0.0000 0.5000 0.2406 La
0.5000 0.0000 0.7594 La
0.0000 0.0000 0.0000 Ni
0.5000 0.5000 0.0000 Ni
0.5000 0.0000 0.1291 Sb
0.0000 0.0000 0.5000 Sb
0.5000 0.5000 0.5000 Sb
0.0000 0.5000 0.8709 Sb
```

For the total energy, the calculation gives -5.47 eV per atom. The space-group type is P4/nmm (129).